Record 1
Computed, not measured: Ac3CoHg2 after structural relaxation at the GGA-PBE level of DFT.

The structure in POSCAR format:
```
Ac3CoHg2
1.0
7.845 0.000 0.000
0.000 14.958 0.000
0.000 0.000 6.407
Ac Co Hg
12 4 8
direct
0.039 0.113 0.174
0.039 0.387 0.174
0.091 0.750 0.352
0.409 0.250 0.852
0.461 0.613 0.674
0.461 0.887 0.674
0.539 0.113 0.326
0.539 0.387 0.326
0.591 0.750 0.148
0.909 0.250 0.648
0.961 0.613 0.826
0.961 0.887 0.826
0.225 0.750 0.800
0.275 0.250 0.300
0.725 0.750 0.700
0.775 0.250 0.200
0.190 0.072 0.663
0.190 0.428 0.663
0.310 0.572 0.163
0.310 0.928 0.163
0.690 0.072 0.837
0.690 0.428 0.837
0.810 0.572 0.337
0.810 0.928 0.337
```

Properties
Its density of states at the Fermi level is 17.51 states/eV/cell. The energy relative to the elements is -260 meV/atom. Its space-group type is Pnma (62). For the excess energy over the best structure of this formula in the dataset, the calculation gives 0 meV/atom. The volume comes out at 751.91 Å³/cell.

---

Record 2
Computed, not measured: Ac2CoHg after structural relaxation at the GGA-PBE level of DFT.

The structure in POSCAR format:
```
Ac2CoHg
1.0
2.124 1.226 8.115
-2.124 1.226 8.115
0.000 -2.453 8.115
Ac Co Hg
2 1 1
direct
0.000 0.000 0.000
0.204 0.204 0.204
0.603 0.603 0.603
0.769 0.769 0.769
```

Properties
Its density of states at the Fermi level is 3.05 states/eV/cell. The energy relative to the elements is -189 meV/atom. Its space-group type is R3m (160). For the excess energy over the best structure of this formula in the dataset, the calculation gives 0 meV/atom. The volume comes out at 126.82 Å³/cell.

---

Record 3
Computed, not measured: Ac8Co3HgI4 after structural relaxation at the GGA-PBE level of DFT.

The structure in POSCAR format:
```
Ac8Co3HgI4
1.0
4.417 2.550 8.582
-4.417 2.550 8.582
0.000 -5.100 8.582
Ac Co Hg I
8 3 1 4
direct
0.202 0.741 0.741
0.228 0.228 0.228
0.259 0.259 0.798
0.259 0.798 0.259
0.741 0.202 0.741
0.741 0.741 0.202
0.772 0.772 0.772
0.798 0.259 0.259
0.000 0.000 0.500
0.000 0.500 0.000
0.500 0.000 0.000
0.500 0.500 0.500
0.000 0.000 0.000
0.000 0.500 0.500
0.500 0.000 0.500
0.500 0.500 0.000
```

Properties
Its density of states at the Fermi level is 10.04 states/eV/cell. Its space-group type is R-3m (166). The volume comes out at 579.96 Å³/cell. The value obtained for the total energy is -4.416 eV/atom.

---

Record 4
Computed, not measured: Ac4CoHgI2 after structural relaxation at the GGA-PBE level of DFT.

The structure in POSCAR format:
```
Ac4CoHgI2
1.0
8.153 0.000 0.000
0.000 4.353 0.000
-2.583 0.000 8.636
Ac Co Hg I
4 1 1 2
direct
0.213 0.000 0.185
0.218 0.500 0.808
0.782 0.500 0.192
0.787 0.000 0.815
0.000 0.500 0.000
0.500 0.000 0.000
0.000 0.000 0.500
0.500 0.500 0.500
```

Properties
Its density of states at the Fermi level is 3.85 states/eV/cell. Its space-group type is P2/m (10). The volume comes out at 306.51 Å³/cell. The value obtained for the total energy is -4.019 eV/atom.

---

Record 5
Computed, not measured: Ac4InCoHg after structural relaxation at the GGA-PBE level of DFT.

The structure in POSCAR format:
```
Ac4InCoHg
1.0
3.848 -8.478 0.000
3.848 8.478 0.000
0.000 0.000 7.695
Ac In Co Hg
8 2 2 2
direct
0.000 0.500 0.000
0.000 0.500 0.500
0.072 0.928 0.750
0.424 0.576 0.750
0.500 0.000 0.000
0.500 0.000 0.500
0.576 0.424 0.250
0.928 0.072 0.250
0.383 0.617 0.250
0.617 0.383 0.750
0.248 0.752 0.750
0.752 0.248 0.250
0.120 0.880 0.250
0.880 0.120 0.750
```

Properties
Its density of states at the Fermi level is 15.55 states/eV/cell. The energy relative to the elements is -203 meV/atom. Its space-group type is Cmcm (63). The volume comes out at 502.04 Å³/cell.

---

Record 6
Computed, not measured: Ac3In3CoHg2 after structural relaxation at the GGA-PBE level of DFT.

The structure in POSCAR format:
```
Ac3In3CoHg2
1.0
7.955 0.000 0.000
-3.978 6.889 0.000
0.000 0.000 4.632
Ac In Co Hg
3 3 1 2
direct
0.000 0.389 0.000
0.389 0.000 0.000
0.611 0.611 0.000
0.000 0.777 0.500
0.223 0.223 0.500
0.777 0.000 0.500
0.000 0.000 0.000
0.333 0.667 0.500
0.667 0.333 0.500
```

Properties
Its density of states at the Fermi level is 10.78 states/eV/cell. The energy relative to the elements is -372 meV/atom. Its space-group type is P-62m (189). The volume comes out at 253.89 Å³/cell.

---

Record 7
Computed, not measured: Ac6CoHg3Ir2 after structural relaxation at the GGA-PBE level of DFT.

The structure in POSCAR format:
```
Ac6CoHg3Ir2
1.0
3.733 -6.457 0.000
3.733 6.457 0.000
-2.481 0.000 8.217
Ac Co Hg Ir
6 1 3 2
direct
0.065 0.393 0.196
0.261 0.261 0.800
0.393 0.065 0.196
0.607 0.935 0.804
0.739 0.739 0.200
0.935 0.607 0.804
0.000 0.000 0.000
0.172 0.828 0.500
0.500 0.500 0.500
0.828 0.172 0.500
0.334 0.666 0.000
0.666 0.334 0.000
```

Properties
Its density of states at the Fermi level is 9.46 states/eV/cell. The energy relative to the elements is -471 meV/atom. Its space-group type is C2/m (12). The volume comes out at 396.11 Å³/cell.

---

Record 8
Computed, not measured: Ac3LaCoHg2 after structural relaxation at the GGA-PBE level of DFT.

The structure in POSCAR format:
```
Ac3LaCoHg2
1.0
-2.591 2.740 8.416
2.591 -2.740 8.416
2.591 2.740 -8.416
Ac La Co Hg
3 1 1 2
direct
0.000 0.000 0.000
0.322 0.822 0.500
0.678 0.178 0.500
0.500 0.500 0.000
0.500 0.000 0.500
0.130 0.630 0.500
0.870 0.370 0.500
```

Properties
Its density of states at the Fermi level is 9.18 states/eV/cell. The energy relative to the elements is -255 meV/atom. Its space-group type is Immm (71). The volume comes out at 239.02 Å³/cell.

---

Record 9
Computed, not measured: Ac2LaCoHg after structural relaxation at the GGA-PBE level of DFT.

The structure in POSCAR format:
```
Ac2LaCoHg
1.0
8.968 0.000 0.000
0.000 4.299 0.000
-2.543 0.000 8.790
Ac La Co Hg
4 2 2 2
direct
0.130 0.250 0.379
0.184 0.250 0.955
0.816 0.750 0.045
0.870 0.750 0.621
0.452 0.750 0.296
0.548 0.250 0.704
0.170 0.750 0.176
0.830 0.250 0.824
0.271 0.750 0.691
0.729 0.250 0.309
```

Properties
Its density of states at the Fermi level is 8.92 states/eV/cell. The energy relative to the elements is -206 meV/atom. Its space-group type is P2_1/m (11). The volume comes out at 338.86 Å³/cell.

---

Record 10
Computed, not measured: AcLa2CoHg after structural relaxation at the GGA-PBE level of DFT.

The structure in POSCAR format:
```
AcLa2CoHg
1.0
5.296 0.000 0.000
0.000 5.296 0.000
0.000 0.000 5.615
Ac La Co Hg
1 2 1 1
direct
0.000 0.000 0.000
0.000 0.500 0.500
0.500 0.000 0.500
0.000 0.000 0.500
0.500 0.500 0.000
```

Properties
Its density of states at the Fermi level is 5.06 states/eV/cell. The energy relative to the elements is -192 meV/atom. Its space-group type is P4/mmm (123). The volume comes out at 157.47 Å³/cell.

---

Record 11
Computed, not measured: Ac2Nd2CoHg2 after structural relaxation at the GGA-PBE level of DFT.

The structure in POSCAR format:
```
Ac2Nd2CoHg2
1.0
4.123 0.000 0.000
-0.015 7.450 0.000
-2.048 -2.863 7.267
Ac Nd Co Hg
2 2 1 2
direct
0.201 0.189 0.399
0.799 0.811 0.601
0.481 0.231 0.962
0.519 0.769 0.038
0.000 0.000 0.000
0.121 0.568 0.243
0.879 0.432 0.757
```

Properties
Its density of states at the Fermi level is 6.83 states/eV/cell. The energy relative to the elements is -249 meV/atom. Its space-group type is P-1 (2). The volume comes out at 223.22 Å³/cell.

---

> Which formula does entry 8 have?

Ac3LaCoHg2